Crystalline NaSm2ScS4 at its relaxed geometry, computed with PBE.

```
data_NaSm2ScS4
_cell_length_a 6.742
_cell_length_b 3.920
_cell_length_c 6.859
_cell_angle_alpha 90.00
_cell_angle_beta 109.26
_cell_angle_gamma 90.00
_space_group_name_H-M_alt 'P 1 2/m 1'
_space_group_IT_number 10
_space_group_name_Hall '-P 2y'
loop_
_atom_site_label
_atom_site_type_symbol
_atom_site_fract_x
_atom_site_fract_y
_atom_site_fract_z
Na1 Na 0.000 0.000 0.000
Sm1 Sm 0.500 0.000 0.500
Sm2 Sm 0.500 0.500 0.000
Sc1 Sc 0.000 0.500 0.500
S1 S 0.232 0.000 0.737
S2 S 0.241 0.500 0.257
```

Its crystal system is monoclinic. The calculation puts the formation energy (no corrections) at -42.669 kcal/mol of atoms. The calculation puts the density of states at the Fermi level at 0.36 states/eV per atom. Its magnetic moment is 0.000 μB/f.u. The value obtained for the total energy is -6.050 eV/atom.